A plane-wave DFT calculation with PBE was carried out for a relaxed structure of SrSmPaO6. Values from VASP.

Values from the calculation:
E (eV/cell): -70.3
V (A^3/atom): 16.724
Crystal system: trigonal

Geometry as Quantum ESPRESSO input:
```
&SYSTEM
  ibrav = 0, nat = 9, ntyp = 4
/
ATOMIC_SPECIES
Sr 87.62 Sr.upf
Sm 150.36 Sm.upf
Pa 231.04 Pa.upf
O 16.00 O.upf
ATOMIC_POSITIONS crystal
Sr 0.000 0.000 0.000
Sm 0.333 0.667 0.000
Pa 0.667 0.333 0.500
O 0.375 0.019 0.251
O 0.375 0.355 0.749
O 0.645 0.019 0.749
O 0.645 0.625 0.251
O 0.981 0.355 0.251
O 0.981 0.625 0.749
CELL_PARAMETERS angstrom
6.081 0.000 0.000
-3.040 5.266 0.000
0.000 0.000 4.701
```